Density functional theory data (GGA-PBE) for crystalline Nd5TmHg3 at its relaxed geometry.

Unit cell a=6.9986 b=9.3609 c=9.3621 alpha=120.00 beta=90.00 gamma=90.00
With the nearest neighbours (Å) after each atom.
Fractional coordinates of all 18 atoms:
Nd 0.5000 0.6667 0.3334  8 Nd 3.50-3.57, 6 Hg 3.60
Tm 0.0000 0.0000 0.0000  2 Tm 3.50, 6 Hg 3.53, 6 Nd 3.59
Hg 0.2500 0.9999 0.3270  3 Nd 3.10-3.17
Hg 0.7500 0.3270 0.3270  3 Nd 3.10-3.17
Nd 0.2500 0.6653 0.0000  3 Hg 3.10-3.17
Hg 0.7500 0.6730 0.0000  3 Nd 3.10-3.17
Hg 0.2500 0.3270 0.0000  3 Nd 3.10-3.17
Nd 0.7500 0.3347 0.0000  3 Hg 3.10-3.17
Nd 0.0000 0.3333 0.6666  8 Nd 3.50-3.57, 6 Hg 3.60
Nd 0.2500 0.3346 0.3346  3 Hg 3.10-3.17
Nd 0.7500 0.0000 0.3346  3 Hg 3.10-3.17
Hg 0.2500 0.6730 0.6730  3 Nd 3.10-3.17
Nd 0.0000 0.6667 0.3334  8 Nd 3.50-3.57, 6 Hg 3.60
Hg 0.7500 0.0001 0.6730  3 Nd 3.10-3.17
Nd 0.5000 0.3333 0.6666  8 Nd 3.50-3.57, 6 Hg 3.60
Nd 0.2500 0.0000 0.6654  3 Hg 3.10-3.17
Tm 0.5000 0.0000 0.0000  2 Tm 3.50, 6 Hg 3.53, 6 Nd 3.59
Nd 0.7500 0.6654 0.6654  3 Hg 3.10-3.17

Computed properties:
Space group: P6_3/mcm, No. 193
Electronic total energy in eV per atom: -3.53

Density functional theory data (GGA-PBE) for crystalline MgTcSN2 at its relaxed geometry.

Unit cell a=3.9486 b=3.9486 c=4.8369 alpha=90.00 beta=90.00 gamma=90.00
With the nearest neighbours (Å) after each atom.
Fractional coordinates of all 5 atoms:
Tc 0.5000 0.5000 0.5000  4 S 2.79, 8 N 3.12
Mg 0.0000 0.0000 0.0000  4 N 1.97
N 0.5000 0.0000 0.0000  2 Mg 1.97
S 0.0000 0.0000 0.5000  2 Mg 2.42
N 0.0000 0.5000 0.0000  2 Mg 1.97

Computed properties:
Space group: P4/mmm, No. 123
Formation energy (no corrections) in kJ per mole of atoms: 145.19
Energy above the most stable polymorph in this dataset in meV per atom: 1424